[1]
Computed, not measured: crystalline La6Ni2CCl3 at its relaxed geometry at the PBE level of DFT.

a = 9.711 Å, b = 9.711 Å, c = 8.780 Å
α = 106.35°, β = 106.35°, γ = 23.19°
Sites, in units of the cell vectors:
La 0.000 0.000 0.205
La 0.000 0.000 0.795
La 0.329 0.329 0.444
La 0.352 0.352 0.898
La 0.648 0.648 0.102
La 0.671 0.671 0.556
Ni 0.164 0.164 0.335
Ni 0.836 0.836 0.665
C 0.500 0.500 0.000
Cl 0.169 0.169 0.841
Cl 0.500 0.500 0.500
Cl 0.831 0.831 0.159

DOS at the Fermi energy   0.909 states/eV/atom
Final energy   -0.4127 Ry per atom
E_form (uncorrected)   -0.96 eV/atom

[2]
Computed, not measured: crystalline SmDyAlPd at its relaxed geometry at the PBE level of DFT.

a = 4.497 Å, b = 3.833 Å, c = 11.299 Å
α = 90.00°, β = 90.00°, γ = 90.00°
Sites, in units of the cell vectors:
Sm 0.000 0.000 0.000
Sm 0.000 0.500 0.500
Dy 0.500 0.000 0.291
Dy 0.500 0.500 0.791
Al 0.000 0.000 0.719
Al 0.000 0.500 0.219
Pd 0.500 0.000 0.581
Pd 0.500 0.500 0.081

DOS at the Fermi energy   1.006 states/eV/atom
Polymorph energy (0 for the lowest one)   0 meV per atom
Final energy   -0.3790 Ry per atom
ΔH_f (0 K)   -2.37 eV per formula unit